1.
Here is LaZrV2Hg after structural relaxation from Alexandria via LeMat-Bulk. Energies are from PBE-GGA.

Unit cell a=4.5842 b=4.5842 c=5.6981 alpha=90.00 beta=90.00 gamma=90.00
With the nearest neighbours (Å) after each atom.
Atoms (fractional coordinates):
La 0.0000 0.0000 0.0000  4 V 2.29
Zr 0.5000 0.5000 0.5000  4 Hg 3.24
V 0.0000 0.5000 0.0000  2 La 2.29
V 0.5000 0.0000 0.0000  2 La 2.29
Hg 0.0000 0.0000 0.5000  2 La 2.85

Total energy in eV per atom: -4.891
Density in g cm⁻³: 7.4
Crystal system: tetragonal
D(E_F) in states/eV/f.u.: 8.86
Calculated volume in Å³ per atom: 23.95
Space group: P4/mmm, No. 123
Formation energy in meV/atom: 1512



2.
Here is NaCuPdPb after structural relaxation from Alexandria via LeMat-Bulk. Energies are from PBE-GGA.

Unit cell a=4.7415 b=4.7415 c=4.7415 alpha=60.00 beta=60.00 gamma=60.00
With the nearest neighbours (Å) after each atom.
Atoms (fractional coordinates):
Na 0.0000 0.0000 0.0000  4 Cu 2.90, 4 Pd 2.90
Cu 0.7500 0.7500 0.7500  4 Na 2.90, 4 Pb 2.90
Pd 0.2500 0.2500 0.2500  4 Pb 2.90, 4 Na 2.90
Pb 0.5000 0.5000 0.5000  4 Cu 2.90, 4 Pd 2.90

Total energy in eV per atom: -3.586
Density in g cm⁻³: 8.8
Crystal system: cubic
D(E_F) in states/eV/f.u.: 1.82
Calculated volume in Å³ per atom: 18.84
Space group: F-43m, No. 216
Formation energy in meV/atom: -7



3.
Here is NaScC after structural relaxation from Alexandria via LeMat-Bulk. Energies are from PBE-GGA.

Unit cell a=3.6469 b=3.6502 c=11.0056 alpha=89.91 beta=89.84 gamma=60.04
With the nearest neighbours (Å) after each atom.
Atoms (fractional coordinates):
Na 0.0000 0.0000 0.0000  9 Na 3.65-3.91, 3 Sc 3.79-3.81
Na 0.3356 0.3394 0.2976  3 C 2.83-2.84
Sc 0.3310 0.3412 0.7119  3 C 2.38
Sc 0.6660 0.6747 0.5145  6 C 2.16-2.36
C 0.9996 0.0084 0.4701  1 C 1.55
C 0.9983 0.0084 0.6113  1 C 1.55

Total energy in eV per atom: -5.601
Density in g cm⁻³: 2.1
Crystal system: triclinic
D(E_F) in states/eV/f.u.: 2.31
Calculated volume in Å³ per atom: 21.15
Space group: P1, No. 1
Formation energy in meV/atom: 23



4.
Here is ZnCuMoOs2 after structural relaxation from Alexandria via LeMat-Bulk. Energies are from PBE-GGA.

Unit cell a=4.6797 b=4.6797 c=4.6753 alpha=90.00 beta=90.00 gamma=90.00
With the nearest neighbours (Å) after each atom.
Atoms (fractional coordinates):
Zn 0.0000 0.0000 0.0000  8 Os 3.31, 4 Cu 3.31
Cu 0.5000 0.5000 0.0000  2 Mo 2.34
Mo 0.5000 0.5000 0.5000  2 Cu 2.34, 4 Os 2.34
Os 0.0000 0.5000 0.5000  2 Mo 2.34
Os 0.5000 0.0000 0.5000  2 Mo 2.34

Total energy in eV per atom: -5.838
Density in g cm⁻³: 9.8
Crystal system: tetragonal
D(E_F) in states/eV/f.u.: 4.05
Calculated volume in Å³ per atom: 20.48
Space group: P4/mmm, No. 123
Formation energy in meV/atom: 1894



5.
Here is Pm7Si2Ge3 after structural relaxation from Alexandria via LeMat-Bulk. Energies are from PBE-GGA.

Unit cell a=12.6194 b=12.6194 c=5.3159 alpha=90.00 beta=90.00 gamma=154.45
With the nearest neighbours (Å) after each atom.
Atoms (fractional coordinates):
Pm 0.0000 0.0000 0.0000  2 Si 2.77
Pm 0.1047 0.8953 0.5000  2 Si 2.66
Pm 0.2262 0.7738 0.0000  1 Si 2.80, 2 Pm 3.03
Pm 0.3835 0.6165 0.0000  2 Si 2.79
Pm 0.6165 0.3835 0.0000  2 Si 2.79
Pm 0.7738 0.2262 0.0000  1 Si 2.80, 2 Pm 3.03
Pm 0.8953 0.1047 0.5000  2 Si 2.66
Si 0.1123 0.8877 0.0000  6 Pm 2.66-2.80
Si 0.8877 0.1123 0.0000  6 Pm 2.66-2.80
Ge 0.3120 0.6880 0.5000  6 Pm 3.19-3.46
Ge 0.5000 0.5000 0.5000  12 Pm 3.80-3.91
Ge 0.6880 0.3120 0.5000  6 Pm 3.19-3.46

Total energy in eV per atom: -5.026
Density in g cm⁻³: 5.9
Crystal system: orthorhombic
Formation energy (no corrections) in eV per atom: -0.197
D(E_F) in states/eV/f.u.: 8.99
Calculated volume in Å³ per atom: 30.43
Space group: Cmmm, No. 65



6.
Here is Ba2MgBiF after structural relaxation from Alexandria via LeMat-Bulk. Energies are from PBE-GGA.

Unit cell a=5.2506 b=5.2506 c=6.2516 alpha=90.00 beta=90.00 gamma=90.00
With the nearest neighbours (Å) after each atom.
Atoms (fractional coordinates):
Ba 0.0000 0.5000 0.0000  2 F 2.63
Ba 0.5000 0.0000 0.0000  2 F 2.63
Mg 0.0000 0.0000 0.5000  4 Bi 3.71, 8 Ba 4.08
Bi 0.5000 0.5000 0.5000  2 F 3.13
F 0.5000 0.5000 0.0000  4 Ba 2.63

Total energy in eV per atom: -3.315
Density in g cm⁻³: 5.1
Crystal system: tetragonal
Formation energy (no corrections) in eV per atom: -1.077
D(E_F) in states/eV/f.u.: 3.97
Calculated volume in Å³ per atom: 34.47
Space group: P4/mmm, No. 123



7.
Here is CdSe3F after structural relaxation from Alexandria via LeMat-Bulk. Energies are from PBE-GGA.

Unit cell a=4.7285 b=4.7285 c=4.7285 alpha=90.00 beta=90.00 gamma=90.00
With the nearest neighbours (Å) after each atom.
Atoms (fractional coordinates):
Cd 0.0000 0.0000 0.0000  12 Se 3.34
Se 0.0000 0.5000 0.5000  2 F 2.36
Se 0.5000 0.0000 0.5000  2 F 2.36
Se 0.5000 0.5000 0.0000  2 F 2.36
F 0.5000 0.5000 0.5000  6 Se 2.36

Total energy in eV per atom: -2.388
Density in g cm⁻³: 5.8
Crystal system: cubic
Formation energy (no corrections) in eV per atom: 0.260
D(E_F) in states/eV/f.u.: 2.25
Calculated volume in Å³ per atom: 21.14
Space group: Pm-3m, No. 221



8.
Here is Cs2KRb2 after structural relaxation from Alexandria via LeMat-Bulk. Energies are from PBE-GGA.

Unit cell a=12.8557 b=12.8557 c=12.8557 alpha=149.84 beta=149.84 gamma=43.18
With the nearest neighbours (Å) after each atom.
Atoms (fractional coordinates):
Cs 0.2500 0.7500 0.5000  4 Cs 4.73, 4 Rb 5.06
Cs 0.7500 0.2500 0.5000  4 Cs 4.73, 4 Rb 5.06
K 0.0000 0.0000 0.0000  8 Rb 5.21
Rb 0.4090 0.4090 0.0000  1 Rb 4.35
Rb 0.5910 0.5910 0.0000  1 Rb 4.35

Total energy in eV per atom: -0.850
Density in g cm⁻³: 1.5
Crystal system: tetragonal
D(E_F) in states/eV/f.u.: 5.32
Calculated volume in Å³ per atom: 107.00
Space group: I4/mmm, No. 139
Formation energy in meV/atom: 98



9.
Here is CePm4Tm15 after structural relaxation from Alexandria via LeMat-Bulk. Energies are from PBE-GGA.

Unit cell a=4.9901 b=4.9901 c=24.7943 alpha=90.00 beta=90.00 gamma=90.00
With the nearest neighbours (Å) after each atom.
Atoms (fractional coordinates):
Ce 0.0000 0.0000 0.0000  12 Tm 3.48-3.53
Pm 0.0000 0.0000 0.1980  12 Tm 3.52-3.53
Pm 0.0000 0.0000 0.3996  12 Tm 3.53
Pm 0.0000 0.0000 0.6004  12 Tm 3.53
Pm 0.0000 0.0000 0.8020  12 Tm 3.52-3.53
Tm 0.0000 0.5000 0.0980  2 Ce 3.48, 8 Tm 3.48-3.54, 2 Pm 3.52
Tm 0.0000 0.5000 0.2990  8 Tm 3.51-3.53, 4 Pm 3.53
Tm 0.0000 0.5000 0.5000  4 Pm 3.53, 8 Tm 3.53
Tm 0.0000 0.5000 0.7010  8 Tm 3.51-3.53, 4 Pm 3.53
Tm 0.0000 0.5000 0.9020  2 Ce 3.48, 8 Tm 3.48-3.54, 2 Pm 3.52
Tm 0.5000 0.0000 0.0980  2 Ce 3.48, 8 Tm 3.48-3.54, 2 Pm 3.52
Tm 0.5000 0.0000 0.2990  8 Tm 3.51-3.53, 4 Pm 3.53
Tm 0.5000 0.0000 0.5000  4 Pm 3.53, 8 Tm 3.53
Tm 0.5000 0.0000 0.7010  8 Tm 3.51-3.53, 4 Pm 3.53
Tm 0.5000 0.0000 0.9020  2 Ce 3.48, 8 Tm 3.48-3.54, 2 Pm 3.52
Tm 0.5000 0.5000 0.0000  8 Tm 3.48, 4 Ce 3.53
Tm 0.5000 0.5000 0.1992  8 Tm 3.51-3.54, 4 Pm 3.53
Tm 0.5000 0.5000 0.3994  8 Tm 3.52-3.53, 4 Pm 3.53
Tm 0.5000 0.5000 0.6006  8 Tm 3.52-3.53, 4 Pm 3.53
Tm 0.5000 0.5000 0.8008  8 Tm 3.51-3.54, 4 Pm 3.53

Total energy in eV per atom: -4.566
Density in g cm⁻³: 8.8
Crystal system: tetragonal
D(E_F) in states/eV/f.u.: 28.82
Calculated volume in Å³ per atom: 30.87
Space group: P4/mmm, No. 123
Formation energy in meV/atom: 34



10.
Here is Ta3CrP after structural relaxation from Alexandria via LeMat-Bulk. Energies are from PBE-GGA.

Unit cell a=4.5424 b=4.5424 c=4.5424 alpha=90.00 beta=90.00 gamma=90.00
With the nearest neighbours (Å) after each atom.
Atoms (fractional coordinates):
Ta 0.0000 0.0000 0.5000  2 P 2.27
Ta 0.0000 0.5000 0.0000  2 P 2.27
Ta 0.5000 0.0000 0.0000  2 P 2.27
Cr 0.5000 0.5000 0.5000  12 Ta 3.21
P 0.0000 0.0000 0.0000  6 Ta 2.27

Total energy in eV per atom: -9.411
Density in g cm⁻³: 11.1
Crystal system: cubic
D(E_F) in states/eV/f.u.: 6.58
Calculated volume in Å³ per atom: 18.74
Space group: Pm-3m, No. 221
Formation energy in meV/atom: 708